This record from the Alexandria database describes a relaxed Ca2LaCr crystal. The functional is PBE-GGA.

Properties
- energy relative to the lowest polymorph listed for this composition (eV per formula unit) = 0.86
- formation energy (eV per atom) = 0.5043

```
data_Ca2LaCr
_space_group_name_H-M_alt 'C 1 2/m 1'
_space_group_IT_number 12
_space_group_name_Hall '-C 2y'
_cell_length_a 6.904
_cell_length_b 11.858
_cell_length_c 3.533
_cell_angle_alpha 90.00
_cell_angle_beta 114.12
_cell_angle_gamma 90.00
loop_
_atom_site_label
_atom_site_type_symbol
_atom_site_fract_x
_atom_site_fract_y
_atom_site_fract_z
Ca1 Ca 0.250 0.250 0.000
La1 La 0.000 0.000 0.500
Cr1 Cr 0.000 0.500 0.500
```


This record from the Alexandria database describes a relaxed CaLa2MgCr crystal. The functional is PBE-GGA.

Properties
- formation energy (eV per atom) = 0.3231

```
data_CaLa2MgCr
_space_group_name_H-M_alt 'P 4/m m m'
_space_group_IT_number 123
_space_group_name_Hall '-P 4 2'
_cell_length_a 5.282
_cell_length_b 5.282
_cell_length_c 5.613
_cell_angle_alpha 90.00
_cell_angle_beta 90.00
_cell_angle_gamma 90.00
loop_
_atom_site_label
_atom_site_type_symbol
_atom_site_fract_x
_atom_site_fract_y
_atom_site_fract_z
Ca1 Ca 0.000 0.000 0.000
La1 La 0.000 0.500 0.500
Mg1 Mg 0.500 0.500 0.000
Cr1 Cr 0.500 0.500 0.500
```


This record from the Alexandria database describes a relaxed Ca2LaCrN4 crystal. The functional is PBE-GGA.

Properties
- energy relative to the elements, uncorrected (eV per atom) = -0.91

```
data_Ca2LaCrN4
_space_group_name_H-M_alt 'C m c m'
_space_group_IT_number 63
_space_group_name_Hall '-C 2c 2'
_cell_length_a 3.414
_cell_length_b 11.789
_cell_length_c 11.831
_cell_angle_alpha 90.00
_cell_angle_beta 90.00
_cell_angle_gamma 90.00
loop_
_atom_site_label
_atom_site_type_symbol
_atom_site_fract_x
_atom_site_fract_y
_atom_site_fract_z
Ca1 Ca 0.000 0.127 0.040
La1 La 0.000 0.420 0.250
Cr1 Cr 0.000 0.317 0.750
N1 N 0.000 0.098 0.250
N2 N 0.000 0.229 0.637
N3 N 0.000 0.500 0.000
```


This record from the Alexandria database describes a relaxed CaLaCrN4 crystal. The functional is PBE-GGA.

Properties
- energy relative to the elements, uncorrected (eV per atom) = -0.75

```
data_CaLaCrN4
_space_group_name_H-M_alt 'P 1 21/m 1'
_space_group_IT_number 11
_space_group_name_Hall '-P 2yb'
_cell_length_a 5.856
_cell_length_b 5.562
_cell_length_c 6.929
_cell_angle_alpha 90.00
_cell_angle_beta 106.12
_cell_angle_gamma 90.00
loop_
_atom_site_label
_atom_site_type_symbol
_atom_site_fract_x
_atom_site_fract_y
_atom_site_fract_z
Ca1 Ca 0.220 0.250 0.435
La1 La 0.284 0.250 0.954
Cr1 Cr 0.265 0.750 0.213
N1 N 0.056 0.750 0.351
N2 N 0.107 0.750 0.962
N3 N 0.453 0.504 0.252
```


Ordered energy results: -4.134 -4.292 -7.393 -7.869; unit eV per atom.